Below is a relaxed YInCo2 crystal, with properties calculated at the PBE level.

Cell lengths 3.9961, 5.0424, 7.1940 Å; angles 90.00, 90.00, 90.00 degrees
Element x y z (fractional)
1 Co 0.0000 0.0000 0.0000
2 Co 0.0000 0.5000 0.0000
3 Co 0.5000 0.2500 0.9118
4 Co 0.5000 0.7500 0.0882
5 In 0.0000 0.2500 0.6507
6 In 0.0000 0.7500 0.3493
7 Y 0.5000 0.2500 0.2813
8 Y 0.5000 0.7500 0.7187

spin magnetization	0.601	μB per atom
calculated volume	145.0	Å³/cell
density of states at the Fermi level	11.1	states/eV per cell
energy relative to the elements	-0.251	eV per atom

Below is a relaxed Y8InCo2 crystal, with properties calculated at the PBE level.

Cell lengths 5.2881, 7.9374, 7.9374 Å; angles 113.28, 97.10, 97.10 degrees
Element x y z (fractional)
1 Y 0.9281 0.9334 0.6703
2 Y 0.9281 0.6703 0.9334
3 Y 0.3020 0.6136 0.6136
4 Y 0.5000 0.7491 0.2509
5 Y 0.5000 0.2509 0.7491
6 Y 0.6980 0.3864 0.3864
7 Y 0.0719 0.3297 0.0666
8 Y 0.0719 0.0666 0.3297
9 In 0.5000 0.0000 0.0000
10 Co 0.0000 0.3083 0.6917
11 Co 0.0000 0.6917 0.3083

excess energy over the best structure of this formula in the dataset	0.000	kcal/mol of atoms
spin magnetization	0.000	μB per atom
calculated volume	298.2	Å³/cell
density of states at the Fermi level	13.3	states/eV per cell
energy relative to the elements	-0.124	eV per atom

Below is a relaxed Y3InCo crystal, with properties calculated at the PBE level.

Cell lengths 5.1633, 5.1633, 5.1633 Å; angles 90.00, 90.00, 90.00 degrees
Element x y z (fractional)
1 Y 0.0000 0.5000 0.0000
2 Y 0.0000 0.0000 0.5000
3 Y 0.5000 0.0000 0.0000
4 Co 0.0000 0.0000 0.0000
5 In 0.5000 0.5000 0.5000

excess energy over the best structure of this formula in the dataset	2.256	kcal/mol of atoms
spin magnetization	0.000	μB per atom
calculated volume	137.7	Å³/cell
density of states at the Fermi level	5.8	states/eV per cell
energy relative to the elements	-0.187	eV per atom

Below is a relaxed Y2InCo crystal, with properties calculated at the PBE level.

Cell lengths 6.2525, 6.2525, 5.0044 Å; angles 66.42, 66.42, 31.47 degrees
Element x y z (fractional)
1 Co 0.5053 0.5053 0.4956
2 In 0.1975 0.1975 0.3022
3 Y 0.9980 0.9980 0.0017
4 Y 0.7992 0.7992 0.7005

spin magnetization	0.127	μB per atom
calculated volume	92.9	Å³/cell
density of states at the Fermi level	3.6	states/eV per cell
energy relative to the elements	-0.188	eV per atom

Below is a relaxed Y2InCo crystal, with properties calculated at the PBE level.

Cell lengths 3.6849, 4.4725, 6.2478 Å; angles 68.98, 90.00, 90.00 degrees
Element x y z (fractional)
1 Co 0.0000 0.7253 0.4251
2 In 0.5000 0.5612 0.7523
3 Y 0.0000 0.9526 0.9689
4 Y 0.5000 0.2608 0.3536

spin magnetization	0.000	μB per atom
calculated volume	96.1	Å³/cell
density of states at the Fermi level	2.5	states/eV per cell
energy relative to the elements	-0.233	eV per atom

Below is a relaxed Y6In3Co crystal, with properties calculated at the PBE level.

Cell lengths 5.9829, 8.8692, 10.5851 Å; angles 90.00, 87.88, 90.00 degrees
Element x y z (fractional)
1 Y 0.6112 0.1579 0.9417
2 Y 0.5809 0.1980 0.5649
3 Y 0.6203 0.4512 0.2758
4 Y 0.3797 0.5488 0.7242
5 Y 0.4191 0.8020 0.4351
6 Y 0.3888 0.8421 0.0583
7 Y 0.1112 0.3421 0.4417
8 Y 0.0809 0.3020 0.0649
9 Y 0.1203 0.0488 0.7758
10 Y 0.8797 0.9512 0.2242
11 Y 0.9191 0.6980 0.9351
12 Y 0.8888 0.6579 0.5583
13 In 0.5979 0.8864 0.7379
14 In 0.5000 0.5000 0.0000
15 In 0.4021 0.1136 0.2621
16 In 0.0979 0.6136 0.2379
17 In 0.0000 0.0000 0.5000
18 In 0.9021 0.3864 0.7621
19 Co 0.5000 0.5000 0.5000
20 Co 0.0000 0.0000 0.0000

excess energy over the best structure of this formula in the dataset	0.985	kcal/mol of atoms
spin magnetization	0.000	μB per atom
calculated volume	561.3	Å³/cell
density of states at the Fermi level	22.3	states/eV per cell
energy relative to the elements	-0.269	eV per atom

Below is a relaxed Y2InCo crystal, with properties calculated at the PBE level.

Cell lengths 7.9005, 7.9005, 6.3991 Å; angles 51.88, 51.88, 90.00 degrees
Element x y z (fractional)
1 Y 0.5634 0.1250 0.2500
2 Y 0.1866 0.6250 0.2500
3 Y 0.3750 0.4366 0.7500
4 Y 0.8750 0.8134 0.7500
5 Co 0.5000 0.5000 0.0000
6 Co 0.2500 0.7500 0.5000
7 In 0.0000 0.0000 0.0000
8 In 0.7500 0.2500 0.5000

spin magnetization	0.000	μB per atom
calculated volume	194.8	Å³/cell
density of states at the Fermi level	4.4	states/eV per cell
energy relative to the elements	0.045	eV per atom

Below is a relaxed Y2InCo2 crystal, with properties calculated at the PBE level.

Cell lengths 5.2918, 5.2918, 5.3329 Å; angles 60.25, 60.25, 90.00 degrees
Element x y z (fractional)
1 Y 0.7500 0.2500 0.5000
2 Y 0.2500 0.7500 0.5000
3 Co 0.3444 0.3444 0.3113
4 Co 0.6556 0.6556 0.6887
5 In 0.0000 0.0000 0.0000

spin magnetization	0.000	μB per atom
calculated volume	106.4	Å³/cell
density of states at the Fermi level	3.1	states/eV per cell
energy relative to the elements	-0.037	eV per atom

Below is a relaxed Y8In3Co crystal, with properties calculated at the PBE level.

Cell lengths 10.4007, 10.4007, 7.0512 Å; angles 90.00, 90.00, 120.00 degrees
Element x y z (fractional)
1 Y 0.4643 0.5357 0.4820
2 Y 0.0713 0.5357 0.4820
3 Y 0.4643 0.9287 0.4820
4 Y 0.5357 0.4643 0.9820
5 Y 0.9287 0.4643 0.9820
6 Y 0.5357 0.0713 0.9820
7 Y 0.8222 0.1778 0.2756
8 Y 0.3556 0.1778 0.2756
9 Y 0.8222 0.6444 0.2756
10 Y 0.1778 0.8222 0.7756
11 Y 0.6444 0.8222 0.7756
12 Y 0.1778 0.3556 0.7756
13 Y 0.3333 0.6667 0.0912
14 Y 0.6667 0.3333 0.5912
15 Y 0.0000 0.0000 0.4962
16 Y 0.0000 0.0000 0.9962
17 In 0.1629 0.8371 0.2354
18 In 0.6741 0.8371 0.2354
19 In 0.1629 0.3259 0.2354
20 In 0.8371 0.1629 0.7354
21 In 0.3259 0.1629 0.7354
22 In 0.8371 0.6741 0.7354
23 Co 0.3333 0.6667 0.7058
24 Co 0.6667 0.3333 0.2058

spin magnetization	0.000	μB per atom
calculated volume	660.6	Å³/cell
density of states at the Fermi level	8.8	states/eV per cell
energy relative to the elements	-0.375	eV per atom

Below is a relaxed Y3InCo crystal, with properties calculated at the PBE level.

Cell lengths 5.4915, 6.3899, 8.8960 Å; angles 114.25, 84.16, 114.33 degrees
Element x y z (fractional)
1 Y 0.4721 0.7846 0.1120
2 Y 0.1269 0.3476 0.6845
3 Y 0.8665 0.8003 0.7793
4 Y 0.1335 0.1997 0.2207
5 Y 0.5279 0.2154 0.8880
6 Y 0.8731 0.6524 0.3155
7 In 0.6051 0.2330 0.4709
8 In 0.3949 0.7670 0.5291
9 Co 0.9506 0.6767 0.0190
10 Co 0.0494 0.3233 0.9810

excess energy over the best structure of this formula in the dataset	0.000	kcal/mol of atoms
spin magnetization	0.000	μB per atom
calculated volume	258.5	Å³/cell
density of states at the Fermi level	8.6	states/eV per cell
energy relative to the elements	-0.285	eV per atom

Below is a relaxed Y2InCo crystal, with properties calculated at the PBE level.

Cell lengths 8.1350, 8.1350, 8.1350 Å; angles 28.16, 28.16, 28.16 degrees
Element x y z (fractional)
1 Co 0.4890 0.4890 0.4890
2 In 0.7766 0.7766 0.7766
3 Y 0.0155 0.0155 0.0155
4 Y 0.2189 0.2189 0.2189

spin magnetization	0.000	μB per atom
calculated volume	106.0	Å³/cell
density of states at the Fermi level	5.3	states/eV per cell
energy relative to the elements	0.064	eV per atom

Below is a relaxed YInCo2 crystal, with properties calculated at the PBE level.

Cell lengths 6.2299, 6.2299, 6.2299 Å; angles 36.95, 36.95, 36.95 degrees
Element x y z (fractional)
1 Co 0.9548 0.9548 0.9548
2 Co 0.2864 0.2864 0.2864
3 In 0.5322 0.5322 0.5322
4 Y 0.7266 0.7266 0.7266

spin magnetization	0.378	μB per atom
calculated volume	78.3	Å³/cell
density of states at the Fermi level	3.8	states/eV per cell
energy relative to the elements	-0.127	eV per atom

- Which of these has the highest spin magnetization?
  number 1